DFT (PBE with a Hubbard U) results for a relaxed Li7Mn4CoO12 crystal. Values from VASP.

Computed properties:
The calculation puts the energy above the lowest structure with this stoichiometry at 0.0374 eV/atom. As for the calculated density: 3.94 Mg/m³. As for the symmetry: P1, No. 1. Its total energy is -6.197 eV per atom.

```
&SYSTEM
  ibrav = 0, nat = 24, ntyp = 4
/
ATOMIC_SPECIES
Li 6.94 Li.upf
O 16.00 O.upf
Mn 54.94 Mn.upf
Co 58.93 Co.upf
CELL_PARAMETERS angstrom
-1.816 -2.033 1.186
6.610 -2.858 2.992
-3.738 7.382 5.949
ATOMIC_POSITIONS crystal
Li 0.505 0.000 0.251
O 0.270 0.503 0.133
Li 0.332 0.665 0.832
Mn 0.339 0.672 0.336
Mn 0.698 0.342 0.671
O 0.635 0.166 0.471
Co 0.033 0.006 0.501
Li 0.827 0.653 0.065
Mn 0.965 0.986 0.994
Li 0.156 0.335 0.418
O 0.148 0.183 0.693
O 0.514 0.147 0.970
O 0.236 0.479 0.629
Li 0.841 0.678 0.598
O 0.029 0.163 0.197
Li 0.232 0.352 0.911
O 0.763 0.481 0.860
O 0.954 0.841 0.306
Li 0.433 0.979 0.753
O 0.714 0.499 0.367
Mn 0.643 0.331 0.167
O 0.427 0.851 0.036
O 0.405 0.840 0.536
O 0.900 0.847 0.805
```

DFT (PBE with a Hubbard U) results for a relaxed Li7Mn4CoO12 crystal. Values from VASP.

Computed properties:
The calculation puts the energy above the lowest structure with this stoichiometry at 0.0596 eV/atom. As for the calculated density: 3.89 Mg/m³. As for the symmetry: P1, No. 1. Its total energy is -6.174 eV per atom.

```
&SYSTEM
  ibrav = 0, nat = 24, ntyp = 4
/
ATOMIC_SPECIES
O 16.00 O.upf
Co 58.93 Co.upf
Li 6.94 Li.upf
Mn 54.94 Mn.upf
CELL_PARAMETERS angstrom
-2.392 -0.279 1.812
2.801 -7.210 1.227
4.425 6.744 6.186
ATOMIC_POSITIONS crystal
O 0.729 0.499 0.370
Co 0.303 0.650 0.826
O 0.247 0.522 0.644
O 0.610 0.167 0.966
Li 0.782 0.660 0.595
O 0.914 0.824 0.800
O 0.084 0.154 0.695
Mn 0.670 0.331 0.166
O 0.284 0.501 0.137
O 0.965 0.837 0.303
Li 0.639 0.326 0.674
Li 0.831 0.663 0.078
Li 0.495 0.000 0.251
Mn 0.024 0.014 0.506
O 0.372 0.821 0.022
Li 0.186 0.344 0.426
Mn 0.357 0.671 0.334
O 0.478 0.855 0.529
Li 0.546 0.017 0.748
O 0.046 0.159 0.197
Li 0.179 0.330 0.904
Mn 0.987 0.993 0.995
O 0.715 0.513 0.871
O 0.557 0.149 0.465
```

DFT (PBE with a Hubbard U) results for a relaxed Li5MnCo2O8 crystal. Values from VASP.

Computed properties:
The calculation puts the energy above the lowest structure with this stoichiometry at 0.0485 eV/atom. As for the calculated density: 3.97 Mg/m³. As for the symmetry: Cm, No. 8. Its total energy is -5.700 eV per atom.

```
&SYSTEM
  ibrav = 0, nat = 16, ntyp = 4
/
ATOMIC_SPECIES
O 16.00 O.upf
Co 58.93 Co.upf
Mn 54.94 Mn.upf
Li 6.94 Li.upf
CELL_PARAMETERS angstrom
-5.055 0.551 0.548
-4.203 -1.400 2.555
-0.415 7.077 7.054
ATOMIC_POSITIONS crystal
O 0.607 0.607 0.068
Co 0.495 0.495 0.252
O 0.387 0.387 0.429
O 0.393 0.393 0.946
O 0.882 0.882 0.668
O 0.615 0.615 0.555
Mn 0.003 0.003 0.994
Li 0.252 0.252 0.128
Li 0.749 0.749 0.379
O 0.124 0.124 0.829
Li 0.511 0.511 0.749
Co 0.997 0.997 0.511
Li 0.754 0.754 0.860
Li 0.242 0.242 0.628
O 0.884 0.884 0.184
O 0.105 0.105 0.320
```

DFT (PBE with a Hubbard U) results for a relaxed Li4MnCo2O7 crystal. Values from VASP.

Computed properties:
The calculation puts the energy above the lowest structure with this stoichiometry at 0.0404 eV/atom. As for the calculated density: 4.33 Mg/m³. As for the symmetry: Cm, No. 8. Its total energy is -5.841 eV per atom.

```
&SYSTEM
  ibrav = 0, nat = 28, ntyp = 4
/
ATOMIC_SPECIES
O 16.00 O.upf
Li 6.94 Li.upf
Mn 54.94 Mn.upf
Co 58.93 Co.upf
CELL_PARAMETERS angstrom
1.429 7.525 -0.078
-1.429 7.525 -0.078
0.000 6.146 11.087
ATOMIC_POSITIONS crystal
O 0.550 0.550 0.310
O 0.692 0.692 0.603
O 0.168 0.168 0.118
Li 0.505 0.505 0.501
O 0.450 0.450 0.687
O 0.108 0.108 0.451
O 0.596 0.596 0.980
Li 0.075 0.075 0.632
Mn 0.998 0.998 0.000
Li 0.641 0.641 0.777
Li 0.712 0.712 0.434
O 0.832 0.832 0.877
Co 0.430 0.430 0.848
O 0.027 0.027 0.814
O 0.403 0.403 0.017
Co 0.570 0.570 0.148
Li 0.925 0.925 0.364
O 0.321 0.321 0.412
Li 0.217 0.217 0.927
O 0.259 0.259 0.738
O 0.973 0.973 0.184
Co 0.285 0.285 0.569
Li 0.786 0.786 0.068
Co 0.855 0.855 0.713
Mn 0.146 0.146 0.290
Li 0.355 0.355 0.239
O 0.743 0.743 0.251
O 0.879 0.879 0.550
```